1.
TlNiAs | the Alexandria database | PBE | relaxed; ΔE to the lowest computed polymorph = 216.2 meV/atom; DFT total energy = -12.67 eV per cell; theoretical density = 9.1 Mg/m³; DFT formation energy = 0.04 eV per atom
1.0
3.5587 0.0000 0.0000
-1.7793 3.0819 0.0000
0.0000 0.0000 5.6275
As Ni Tl
1 1 1
direct
0.0000 0.0000 0.0870 As
0.3333 0.6667 0.2779 Ni
0.6667 0.3333 0.6351 Tl

2.
InAsRu3 | the Alexandria database | PBE | relaxed; ΔE to the lowest computed polymorph = 0.0 meV/atom; DFT total energy = -32.05 eV per cell; theoretical density = 8.8 Mg/m³; DFT formation energy = 0.63 eV per atom
1.0
-3.7548 -2.4583 0.5843
2.5190 -3.5599 1.2102
-0.1977 1.3293 4.3217
Ru As In
3 1 1
direct
0.0000 0.5000 0.0000 Ru
0.0000 0.0000 0.5000 Ru
0.5000 0.0000 0.0000 Ru
0.0000 0.0000 0.0000 As
0.5000 0.5000 0.5000 In

3.
CsYTl2I6 | the Alexandria database | PBE | relaxed; DFT total energy = -32.73 eV per cell; theoretical density = 4.5 Mg/m³
1.0
-5.9473 -1.8107 6.1801
-7.5276 -3.9282 -2.1728
-1.1885 -8.8770 2.4780
Cs Y Tl I
1 1 2 6
direct
0.8122 0.8123 0.5627 Cs
0.3277 0.3277 0.0168 Y
0.5211 0.5210 0.4369 Tl
0.0043 0.0043 0.9875 Tl
0.5509 0.2448 0.2327 I
0.2446 0.9718 0.2328 I
0.9718 0.5510 0.2326 I
0.3750 0.7001 0.7710 I
0.7003 0.1535 0.7712 I
0.1537 0.3751 0.7711 I

4.
GaSbN2O | the Alexandria database | PBE | relaxed; DFT total energy = -25.44 eV per cell; theoretical density = 6.0 Mg/m³
1.0
-3.2444 2.5084 -0.0399
-0.3975 -0.5784 -4.0407
-2.3503 -3.0293 0.6649
Sb O Ga N
1 1 1 2
direct
0.0000 0.0000 0.0000 Sb
0.0000 0.0000 0.5000 O
0.5000 0.5000 0.5000 Ga
0.0000 0.5000 0.0000 N
0.5000 0.0000 0.0000 N

5.
Er4InHg2 | the Alexandria database | PBE | relaxed; ΔE to the lowest computed polymorph = 130.0 meV/atom; DFT total energy = -22.75 eV per cell; theoretical density = 9.5 Mg/m³; DFT formation energy = -0.16 eV per atom
1.0
4.9965 0.0000 0.0000
2.4983 4.3271 0.0000
2.4983 1.4424 9.6016
Er In Hg
4 1 2
direct
0.3792 0.3792 0.8623 Er
0.2038 0.2038 0.3887 Er
0.7962 0.7962 0.6113 Er
0.6208 0.6208 0.1377 Er
0.0000 0.0000 0.0000 In
0.1007 0.1007 0.6978 Hg
0.8993 0.8993 0.3022 Hg

6.
TbPm3Tm4 | the Alexandria database | PBE | relaxed; DFT total energy = -36.60 eV per cell; theoretical density = 8.3 Mg/m³; DFT formation energy = 0.02 eV per atom
1.0
3.5658 0.0001 0.0000
0.0003 11.4965 -2.2606
-0.0001 0.1015 6.1669
Tm Tb Pm
4 1 3
direct
0.0000 0.7512 0.7507 Tm
0.5000 0.2489 0.7497 Tm
0.0000 0.2488 0.2493 Tm
0.5000 0.7511 0.2503 Tm
0.5000 0.0000 0.0000 Tb
0.0000 0.0000 0.5000 Pm
0.5000 0.5000 0.5000 Pm
0.0000 0.5000 0.0000 Pm

7.
Zn3Pd8 | the Alexandria database | PBE | relaxed; DFT total energy = -45.02 eV per cell; theoretical density = 9.4 Mg/m³; DFT formation energy = 0.03 eV per atom
1.0
-5.5335 1.3309 0.0711
-1.0604 -4.2793 -3.6000
-0.7712 -3.5055 4.4174
Zn Pd
3 8
direct
0.5000 0.0000 0.5000 Zn
0.0000 0.5000 0.5000 Zn
0.5000 0.5000 0.0000 Zn
0.8985 0.3146 0.1210 Pd
0.3146 0.1210 0.8985 Pd
0.1210 0.8985 0.3146 Pd
0.3649 0.3649 0.3649 Pd
0.6351 0.6351 0.6351 Pd
0.8790 0.1015 0.6854 Pd
0.6854 0.8790 0.1015 Pd
0.1015 0.6854 0.8790 Pd

8.
CaNi2Se | the Alexandria database | PBE | relaxed; DFT total energy = -17.86 eV per cell; theoretical density = 5.6 Mg/m³
1.0
5.0973 -0.0491 -0.0054
1.5817 4.8459 0.0054
-2.7646 -3.1988 2.8476
Ni Ca Se
2 1 1
direct
0.9459 0.9459 0.0000 Ni
0.7378 0.2378 0.5000 Ni
0.2642 0.7642 0.5000 Ca
0.5521 0.5521 0.0000 Se

9.
Cs2NbAsF6 | the Alexandria database | PBE | relaxed; DFT total energy = -50.16 eV per cell; theoretical density = 4.2 Mg/m³
1.0
-4.1025 4.4927 0.3081
-3.2581 -3.2489 3.9924
-0.7162 3.0283 6.5275
Cs Nb As F
2 1 1 6
direct
0.7500 0.2500 0.5000 Cs
0.2500 0.7500 0.5000 Cs
0.0000 0.0000 0.0000 Nb
0.5000 0.5000 0.0000 As
0.1779 0.1779 0.6441 F
0.8221 0.8221 0.3559 F
0.2475 0.2475 0.0000 F
0.7525 0.7525 0.0000 F
0.7525 0.2475 0.0000 F
0.2475 0.7525 0.0000 F

10.
KScBr | the Alexandria database | PBE | relaxed; ΔE to the lowest computed polymorph = 568.0 meV/atom; DFT total energy = -8.97 eV per cell; theoretical density = 2.5 Mg/m³
1.0
5.3263 0.0000 0.0000
2.6631 4.6127 0.0000
2.6631 1.5376 4.3489
Br K Sc
1 1 1
direct
0.7500 0.7500 0.7500 Br
0.0000 0.0000 0.0000 K
0.5000 0.5000 0.5000 Sc

11.
Hg2AuN | the Alexandria database | PBE | relaxed; DFT total energy = -17.95 eV per cell; theoretical density = 10.7 Mg/m³
1.0
5.8111 0.0000 0.0000
0.0000 5.8111 0.0000
2.9056 2.9056 5.6440
Au Hg N
2 4 2
direct
0.0000 0.0000 0.0000 Au
0.7500 0.2500 0.5000 Au
0.5131 0.1250 0.2500 Hg
0.2369 0.6250 0.2500 Hg
0.3750 0.4869 0.7500 Hg
0.8750 0.7631 0.7500 Hg
0.5000 0.5000 0.0000 N
0.2500 0.7500 0.5000 N